# 1
Below is crystalline SrAlSn2Cl at its relaxed geometry, with properties calculated at the GGA-PBE level.

Computed properties:
Volume: 173.57 Å³/cell
Uncorrected formation energy: -0.2278 eV/atom
E_tot: -16.42 eV/f.u.

Structure (POSCAR):
```
SrAlSn2Cl
1.0
-1.234 4.211 -2.596
-3.458 2.228 5.259
4.183 2.316 1.769
Sr Sn Cl Al
1 2 1 1
Direct
0.000 0.500 0.000
0.500 0.000 0.000
0.000 0.000 0.500
0.500 0.500 0.500
0.000 0.000 0.000
```

# 2
Below is crystalline Nb6SiS at its relaxed geometry, with properties calculated at the GGA-PBE level.

Computed properties:
Volume: 148.72 Å³/cell
Uncorrected formation energy: -0.0337 eV/atom
E_tot: -70.24 eV/f.u.

Structure (POSCAR):
```
Nb6SiS
1.0
-5.566 1.059 -1.143
-3.601 -4.377 -1.140
-4.159 -1.502 4.242
Nb S Si
6 1 1
Direct
0.975 0.538 0.248
0.462 0.760 0.752
0.025 0.462 0.752
0.240 0.975 0.248
0.760 0.025 0.752
0.538 0.240 0.248
0.000 0.000 0.000
0.500 0.500 0.500
```

Which value of uncorrected formation energy does entry 2 give?
-0.0337 eV/atom

Which value of E_tot does entry 1 give?
-16.42 eV/f.u.

The lowest volume belongs to which entry?
Nb6SiS

Please write out number 2 again, unchanged.
Below is crystalline Nb6SiS at its relaxed geometry, with properties calculated at the GGA-PBE level.

Computed properties:
Volume: 148.72 Å³/cell
Uncorrected formation energy: -0.0337 eV/atom
E_tot: -70.24 eV/f.u.

Structure (POSCAR):
```
Nb6SiS
1.0
-5.566 1.059 -1.143
-3.601 -4.377 -1.140
-4.159 -1.502 4.242
Nb S Si
6 1 1
Direct
0.975 0.538 0.248
0.462 0.760 0.752
0.025 0.462 0.752
0.240 0.975 0.248
0.760 0.025 0.752
0.538 0.240 0.248
0.000 0.000 0.000
0.500 0.500 0.500
```